*1*
# Fe3Rh2 (GGA-PBEsol, relaxed)
data_Fe3Rh2
_symmetry_space_group_name_H-M 'R -3 m'
_symmetry_Int_Tables_number 166
_symmetry_space_group_name_Hall '-R 3 2"'
_cell_length_a 2.6155
_cell_length_b 2.6155
_cell_length_c 31.2051
_cell_angle_alpha 90.00
_cell_angle_beta 90.00
_cell_angle_gamma 120.00
loop_
_atom_site_label
_atom_site_type_symbol
_atom_site_fract_x
_atom_site_fract_y
_atom_site_fract_z
Fe1 Fe 0.0000 0.0000 0.0000
Fe2 Fe 0.0000 0.0000 0.1990
Rh1 Rh 0.0000 0.0000 0.4008
# Crystal system = trigonal

***

*2*
# Fe3Rh2 (GGA-PBEsol, relaxed)
data_Fe3Rh2
_symmetry_space_group_name_H-M 'I 4/m m m'
_symmetry_Int_Tables_number 139
_symmetry_space_group_name_Hall '-I 4 2'
_cell_length_a 2.760
_cell_length_b 2.760
_cell_length_c 15.798
_cell_angle_alpha 90.00
_cell_angle_beta 90.00
_cell_angle_gamma 90.00
loop_
_atom_site_label
_atom_site_type_symbol
_atom_site_fract_x
_atom_site_fract_y
_atom_site_fract_z
Fe1 Fe 0.000 0.000 0.000
Fe2 Fe 0.000 0.000 0.411
Rh1 Rh 0.000 0.000 0.190
# Crystal system = tetragonal

***

Short version: *1* is the least stable of them.